Entry from Alexandria via LeMat-Bulk: RbLuSb2 after structural relaxation (PBE).

Geometry as extended XYZ:
```
4
Lattice="-2.7045 2.8315 1.0665 0.9408 -0.5727 3.9059 5.6734 5.6231 -0.5420" Properties=species:S:1:pos:R:3 pbc="T T T"
Sb 4.6286 4.5876 -0.4422
Sb 1.0448 1.0355 -0.0998
Lu -0.8819 1.1294 2.4862
Rb 1.9548 3.9409 2.2152
```

Summary:
Uncorrected energy, eV per atom: -3.98
Magnetization, μB/atom: 0.0001
Mass density, g cm⁻³: 6.347
DOS(E_F), states/eV per cell: 1.97

***

Entry from Alexandria via LeMat-Bulk: RbLuSb2 after structural relaxation (PBE).

Geometry as extended XYZ:
```
4
Lattice="-0.7060 -2.8508 -3.6656 -3.2910 -3.3437 0.2250 -6.7180 3.0387 -4.0786" Properties=species:S:1:pos:R:3 pbc="T T T"
Sb -2.2573 -1.1883 -1.6504
Sb -8.4577 -1.9675 -5.8688
Lu 0.0000 0.0000 0.0000
Rb -5.3575 -1.5779 -3.7596
```

Summary:
Uncorrected energy, eV per atom: -3.88
Magnetization, μB/atom: 0.0001
Mass density, g cm⁻³: 5.490
DOS(E_F), states/eV per cell: 3.56

***

Entry from Alexandria via LeMat-Bulk: RbLuSe2 after structural relaxation (PBE).

Geometry as extended XYZ:
```
4
Lattice="-2.9739 7.4794 2.1473 -6.3173 5.3649 0.8410 -4.8910 4.8191 4.7171" Properties=species:S:1:pos:R:3 pbc="T T T"
Rb 0.0000 0.0000 0.0000
Lu -7.0911 8.8317 3.8527
Se -3.2708 4.0737 1.7771
Se -10.9113 13.5898 5.9283
```

Summary:
Uncorrected energy, eV per atom: -4.82
Magnetization, μB/atom: 0.0000
Mass density, g cm⁻³: 5.795
DOS(E_F), states/eV per cell: 0.00